The following is a GGA-PBE calculation of a geometry-optimized PmPu2Tl9 structure, from Alexandria.

a = 4.7910 Å, b = 4.7910 Å, c = 14.4143 Å
α = 90.00°, β = 90.00°, γ = 90.00°
Closest atoms and distances in Å follow each position.
Fractional coordinates of all 12 atoms:
Pm (0.0000, 0.0000, 0.0000)  12 Tl 3.39-3.41
Pu (0.0000, 0.0000, 0.3329)  12 Tl 3.37-3.40
Pu (0.0000, 0.0000, 0.6671)  12 Tl 3.37-3.40
Tl (0.0000, 0.5000, 0.1683)  2 Pu 3.37, 8 Tl 3.39-3.41, 2 Pm 3.41
Tl (0.0000, 0.5000, 0.5000)  8 Tl 3.38-3.39, 4 Pu 3.40
Tl (0.0000, 0.5000, 0.8317)  2 Pu 3.37, 8 Tl 3.39-3.41, 2 Pm 3.41
Tl (0.5000, 0.0000, 0.1683)  2 Pu 3.37, 8 Tl 3.39-3.41, 2 Pm 3.41
Tl (0.5000, 0.0000, 0.5000)  8 Tl 3.38-3.39, 4 Pu 3.40
Tl (0.5000, 0.0000, 0.8317)  2 Pu 3.37, 8 Tl 3.39-3.41, 2 Pm 3.41
Tl (0.5000, 0.5000, 0.0000)  4 Pm 3.39, 8 Tl 3.41
Tl (0.5000, 0.5000, 0.3351)  8 Tl 3.38-3.39, 4 Pu 3.39
Tl (0.5000, 0.5000, 0.6649)  8 Tl 3.38-3.39, 4 Pu 3.39

- total DFT energy (no corrections) (Ry per atom) = -0.3442
- D(E_F) (states/eV/cell) = 29.2
- formation energy (kJ/mol of formula units) = -143
- volume (A^3/atom) = 27.6

---

The following is a GGA-PBE calculation of a geometry-optimized Y3Ga3Si2 structure, from Alexandria.

a = 5.8197 Å, b = 5.8197 Å, c = 15.3090 Å
α = 90.00°, β = 90.00°, γ = 139.42°
Closest atoms and distances in Å follow each position.
Fractional coordinates of all 16 atoms:
Y (0.0729, 0.9271, 0.7500)  5 Ga 2.91-3.25, 4 Si 2.96
Y (0.3585, 0.6415, 0.5925)  4 Si 3.03-3.28, 7 Ga 3.13-3.20
Y (0.3585, 0.6415, 0.9075)  4 Si 3.03-3.28, 7 Ga 3.13-3.20
Y (0.6415, 0.3585, 0.0925)  4 Si 3.03-3.28, 7 Ga 3.13-3.20
Y (0.6415, 0.3585, 0.4075)  4 Si 3.03-3.28, 7 Ga 3.13-3.20
Y (0.9271, 0.0729, 0.2500)  5 Ga 2.91-3.25, 4 Si 2.96
Ga (0.0748, 0.9252, 0.5567)  1 Ga 2.38, 2 Si 2.41
Ga (0.0748, 0.9252, 0.9433)  1 Ga 2.38, 2 Si 2.41
Ga (0.1937, 0.8063, 0.2500)  2 Si 2.57
Ga (0.8063, 0.1937, 0.7500)  2 Si 2.57
Ga (0.9252, 0.0748, 0.0567)  1 Ga 2.38, 2 Si 2.41
Ga (0.9252, 0.0748, 0.4433)  1 Ga 2.38, 2 Si 2.41
Si (0.3450, 0.6550, 0.1216)  3 Ga 2.41-2.57
Si (0.3450, 0.6550, 0.3784)  3 Ga 2.41-2.57
Si (0.6550, 0.3450, 0.6216)  3 Ga 2.41-2.57
Si (0.6550, 0.3450, 0.8784)  3 Ga 2.41-2.57

- total DFT energy (no corrections) (Ry per atom) = -0.4100
- D(E_F) (states/eV/cell) = 5.9
- volume (A^3/atom) = 21.1
- energy relative to the elements, uncorrected (eV per atom) = -0.6640

---

The following is a GGA-PBE calculation of a geometry-optimized CaCdHg2Rh structure, from Alexandria.

a = 5.8658 Å, b = 5.8658 Å, c = 4.8858 Å
α = 90.00°, β = 90.00°, γ = 90.00°
Closest atoms and distances in Å follow each position.
Fractional coordinates of all 5 atoms:
Ca (0.0000, 0.0000, 0.0000)  2 Rh 2.44
Cd (0.5000, 0.5000, 0.5000)  8 Hg 3.82, 4 Rh 4.15
Hg (0.0000, 0.5000, 0.0000)  2 Ca 2.93
Hg (0.5000, 0.0000, 0.0000)  2 Ca 2.93
Rh (0.0000, 0.0000, 0.5000)  2 Ca 2.44

- total DFT energy (no corrections) (Ry per atom) = -0.1144
- D(E_F) (states/eV/cell) = 3.8
- formation energy (kJ/mol of formula units) = 298
- volume (A^3/atom) = 33.6

---

The following is a GGA-PBE calculation of a geometry-optimized Ce3HgP structure, from Alexandria.

a = 5.3484 Å, b = 5.3484 Å, c = 5.3484 Å
α = 90.00°, β = 90.00°, γ = 90.00°
Closest atoms and distances in Å follow each position.
Fractional coordinates of all 5 atoms:
Ce (0.0000, 0.0000, 0.5000)  2 P 2.67
Ce (0.0000, 0.5000, 0.0000)  2 P 2.67
Ce (0.5000, 0.0000, 0.0000)  2 P 2.67
Hg (0.5000, 0.5000, 0.5000)  12 Ce 3.78
P (0.0000, 0.0000, 0.0000)  6 Ce 2.67

- total DFT energy (no corrections) (Ry per atom) = -0.3771
- D(E_F) (states/eV/cell) = 14.7
- formation energy (kJ/mol of formula units) = -207
- volume (A^3/atom) = 30.6